[1]
A relaxed structure of TaFe2Br, computed with PBE-GGA.

Structure (CIF):
```
data_TaFe2Br
_chemical_formula_sum 'Ta1 Fe2 Br1'
_space_group_name_H-M_alt 'P 4/m m m'
_space_group_IT_number 123
_space_group_name_Hall '-P 4 2'
_cell_length_a 3.2435
_cell_length_b 3.2435
_cell_length_c 6.1896
_cell_angle_alpha 90.00
_cell_angle_beta 90.00
_cell_angle_gamma 90.00
loop_
_atom_site_label
_atom_site_type_symbol
_atom_site_fract_x
_atom_site_fract_y
_atom_site_fract_z
_atom_site_occupancy
Ta1 Ta 0.0000 0.0000 0.0000 1
Fe1 Fe 0.5000 0.5000 0.1974 1
Br1 Br 0.0000 0.0000 0.5000 1
```

electronic total energy = -7.240 eV per atom
formation energy without anion corrections = 0.3728 eV per atom
M_tot = 2.62 μB/f.u.

[2]
A relaxed structure of Ta2FeBr, computed with PBE-GGA.

Structure (CIF):
```
data_Ta2FeBr
_chemical_formula_sum 'Ta2 Fe1 Br1'
_space_group_name_H-M_alt 'P 4/m m m'
_space_group_IT_number 123
_space_group_name_Hall '-P 4 2'
_cell_length_a 3.0318
_cell_length_b 3.0318
_cell_length_c 7.2410
_cell_angle_alpha 90.00
_cell_angle_beta 90.00
_cell_angle_gamma 90.00
loop_
_atom_site_label
_atom_site_type_symbol
_atom_site_fract_x
_atom_site_fract_y
_atom_site_fract_z
_atom_site_occupancy
Ta1 Ta 0.0000 0.0000 0.2128 1
Fe1 Fe 0.5000 0.5000 0.0000 1
Br1 Br 0.5000 0.5000 0.5000 1
```

electronic total energy = -8.172 eV per atom
formation energy without anion corrections = 0.2887 eV per atom
M_tot = 1.05 μB/f.u.

[3]
A relaxed structure of Ta2FeBr, computed with PBE-GGA.

Structure (CIF):
```
data_Ta2FeBr
_chemical_formula_sum 'Ta2 Fe1 Br1'
_space_group_name_H-M_alt 'P 4/m m m'
_space_group_IT_number 123
_space_group_name_Hall '-P 4 2'
_cell_length_a 3.9900
_cell_length_b 3.9900
_cell_length_c 4.3760
_cell_angle_alpha 90.00
_cell_angle_beta 90.00
_cell_angle_gamma 90.00
loop_
_atom_site_label
_atom_site_type_symbol
_atom_site_fract_x
_atom_site_fract_y
_atom_site_fract_z
_atom_site_occupancy
Ta1 Ta 0.0000 0.5000 0.0000 1
Fe1 Fe 0.0000 0.0000 0.5000 1
Br1 Br 0.5000 0.5000 0.5000 1
```

electronic total energy = -7.584 eV per atom
formation energy without anion corrections = 0.8760 eV per atom
M_tot = 2.18 μB/f.u.